Entry 1:
A relaxed RbSb2Au crystal. Source: the Alexandria database, functional PBE.

The crystal system is tetragonal. As for the density of states at the Fermi level: 7.93 states/eV per cell. The uncorrected formation energy comes out at -0.42 eV per formula unit. The value obtained for the uncorrected energy is -3.2265 eV/atom. Its distance to the lowest polymorph of the same formula is 217 meV per atom.

The structure belongs to space group I-42d (No. 122); the cell edges are 5.479, 5.479 and 19.474 Å and the angles 90.00°, 90.00° and 90.00°. The inequivalent atoms are Rb at (0.000, 0.000, 0.000), Sb at (0.112, 0.250, 0.625) and Au at (0.000, 0.000, 0.500).

Entry 2:
A relaxed Dy4Ho2Sc5 crystal. Source: the Alexandria database, functional PBE.

The crystal system is monoclinic. The calculation puts the formation energy from the elements at 0.051 eV per atom. As for the density of states at the Fermi level: 34.30 states/eV per cell. The value obtained for the uncorrected energy is -5.3324 eV/atom. Its distance to the lowest polymorph of the same formula is 0 meV per atom.

The structure belongs to space group C2/m (No. 12); the cell edges are 17.373, 4.835 and 7.598 Å and the angles 90.00°, 104.68° and 90.00°. The inequivalent atoms are Dy at (0.046, 0.000, 0.235), Dy at (0.182, 0.500, 0.414), Ho at (0.093, 0.500, 0.949), Sc at (0.000, 0.500, 0.500), Sc at (0.139, 0.000, 0.688) and Sc at (0.227, 0.000, 0.131).

Entry 3:
A relaxed NaBSb crystal. Source: the Alexandria database, functional PBE.

The crystal system is monoclinic. As for the density of states at the Fermi level: 1.67 states/eV per cell. The uncorrected formation energy comes out at 1.35 eV per formula unit. The value obtained for the uncorrected energy is -3.5912 eV/atom.

The structure belongs to space group C2/m (No. 12); the cell edges are 6.429, 3.727 and 12.280 Å and the angles 90.00°, 94.28° and 90.00°. The inequivalent atoms are Na at (0.159, 0.000, 0.376), B at (0.144, 0.500, 0.821) and Sb at (0.014, 0.000, 0.129).

Entry 4:
A relaxed ScCu2F8 crystal. Source: the Alexandria database, functional PBE.

The crystal system is monoclinic. As for the density of states at the Fermi level: 11.24 states/eV per cell. The uncorrected formation energy comes out at -25.27 eV per formula unit. The value obtained for the uncorrected energy is -4.9782 eV/atom.

The structure belongs to space group C2/m (No. 12); the cell edges are 9.166, 6.749 and 4.424 Å and the angles 90.00°, 92.75° and 90.00°. The inequivalent atoms are Sc at (0.000, 0.000, 0.000), Cu at (0.119, 0.500, 0.253), F at (0.091, 0.500, 0.751), F at (0.109, 0.219, 0.239) and F at (0.175, 0.000, 0.738).

Entry 5:
A relaxed PmScSb2O8 crystal. Source: the Alexandria database, functional PBE.

The crystal system is tetragonal. As for the density of states at the Fermi level: 0.00 states/eV per cell. The uncorrected formation energy comes out at -25.39 eV per formula unit. The value obtained for the uncorrected energy is -7.0320 eV/atom.

The structure belongs to space group I-4m2 (No. 119); the cell edges are 7.241, 7.241 and 6.761 Å and the angles 90.00°, 90.00° and 90.00°. The inequivalent atoms are Pm at (0.000, 0.000, 0.000), Sc at (0.000, 0.500, 0.250), Sb at (0.000, 0.000, 0.500), Sb at (0.000, 0.500, 0.750), O at (0.000, 0.196, 0.311) and O at (0.000, 0.318, 0.952).

Entry 6:
A relaxed LiY2TaGe crystal. Source: the Alexandria database, functional PBE.

The crystal system is tetragonal. The calculation puts the formation energy from the elements at 0.480 eV per atom. As for the density of states at the Fermi level: 3.57 states/eV per cell. The value obtained for the uncorrected energy is -5.7821 eV/atom.

The structure belongs to space group P4/mmm (No. 123); the cell edges are 5.453, 5.453 and 5.086 Å and the angles 90.00°, 90.00° and 90.00°. The inequivalent atoms are Li at (0.000, 0.000, 0.000), Y at (0.000, 0.500, 0.500), Ta at (0.500, 0.500, 0.500) and Ge at (0.500, 0.500, 0.000).

uncorrected energy of number 5 (PmScSb2O8)?
-7.0320 eV/atom

The highest uncorrected energy belongs to which entry?
RbSb2Au

uncorrected energy of number 1 (RbSb2Au)?
-3.2265 eV/atom

Which formula does entry 4 have?
ScCu2F8